Below is Cs6MgI8 after structural relaxation, with properties calculated at the PBE level.

Symmetry = R-3 (148)
Mass density = 3.79 g cm⁻³
Electronic total energy = -2.693 eV/atom
N(E_F) = 0.00 states/eV per atom

Cell lengths 9.815, 9.815, 9.815 Å; angles 69.75, 69.75, 69.75 degrees
Element x y z (fractional)
Cs 0.014 0.442 0.801
Cs 0.199 0.986 0.558
Cs 0.442 0.801 0.014
Cs 0.558 0.199 0.986
Cs 0.801 0.014 0.442
Cs 0.986 0.558 0.199
Mg 0.500 0.500 0.500
I 0.152 0.152 0.152
I 0.207 0.647 0.411
I 0.353 0.589 0.793
I 0.411 0.207 0.647
I 0.589 0.793 0.353
I 0.647 0.411 0.207
I 0.793 0.353 0.589
I 0.848 0.848 0.848